Record 1
This record from Alexandria describes a relaxed structure of SmAgF4. The functional is PBE.

Values from the calculation:
Density = 6.0 Mg/m³
SG = No. 141
V = 15.44 Å³/atom
DFT total energy = -33.371 eV/f.u.
ΔE to the lowest computed polymorph = 0 meV per atom
Raw formation energy = -3.05 eV per atom

The structure in extended XYZ format:
```
12
Lattice="-2.8872 2.8872 5.5567 2.8872 -2.8872 5.5567 2.8872 2.8872 -5.5567" Properties=species:S:1:pos:R:3 pbc="T T T"
Sm 2.8872 1.4436 1.3892
Sm 0.0000 1.4436 4.1675
Ag 2.8872 -1.4436 4.1675
Ag 0.0000 4.3308 1.3892
F 1.6197 0.0000 0.0000
F 4.1547 0.0000 0.0000
F 1.4436 3.0633 -2.7784
F 1.4436 0.1761 2.7784
F 1.6197 2.8872 0.0000
F 1.2675 0.0000 5.5567
F -1.4436 2.7111 2.7784
F 1.4436 2.7111 2.7784
```

Record 2
This record from Alexandria describes a relaxed structure of Li2PrPt9. The functional is PBE.

Values from the calculation:
Density = 14.6 Mg/m³
SG = No. 166
V = 18.09 Å³/atom
DFT total energy = -69.520 eV/f.u.

The structure in extended XYZ format:
```
12
Lattice="2.6775 1.5458 8.7418 -2.6775 1.5458 8.7418 0.0000 -3.0917 8.7418" Properties=species:S:1:pos:R:3 pbc="T T T"
Li 0.0000 0.0000 3.8491
Li 0.0000 0.0000 22.3763
Pr 0.0000 0.0000 0.0000
Pt -1.3547 -0.7821 10.9994
Pt 0.0000 0.0000 8.7338
Pt 0.0000 -1.5642 15.2260
Pt -1.3547 0.7821 15.2260
Pt 0.0000 0.0000 13.1127
Pt 1.3547 -0.7821 10.9994
Pt 0.0000 1.5642 10.9994
Pt 0.0000 0.0000 17.4916
Pt 1.3547 0.7821 15.2260
```

Record 3
This record from Alexandria describes a relaxed structure of Pm2TlGa2. The functional is PBE.

Values from the calculation:
Density = 8.4 Mg/m³
SG = No. 127
V = 25.12 Å³/atom
DFT total energy = -20.630 eV/f.u.
ΔE to the lowest computed polymorph = 6 meV per atom

The structure in extended XYZ format:
```
10
Lattice="7.4697 0.0000 0.0000 0.0000 7.4697 0.0000 0.0000 0.0000 4.5023" Properties=species:S:1:pos:R:3 pbc="T T T"
Pm 1.2936 2.4412 0.0000
Pm 2.4412 6.1760 0.0000
Pm 5.0285 1.2936 0.0000
Pm 6.1760 5.0285 0.0000
Tl 0.0000 0.0000 2.2512
Tl 3.7348 3.7348 2.2512
Ga 0.9162 4.6510 2.2512
Ga 2.8187 0.9162 2.2512
Ga 4.6510 6.5535 2.2512
Ga 6.5535 2.8187 2.2512
```

Record 4
This record from Alexandria describes a relaxed structure of Mn2BeVH. The functional is PBE.

Values from the calculation:
Density = 3.4 Mg/m³
SG = No. 123
V = 16.91 Å³/atom
DFT total energy = -26.340 eV/f.u.
ΔE to the lowest computed polymorph = 1722 meV per atom

The structure in extended XYZ format:
```
5
Lattice="4.3594 0.0000 0.0000 0.0000 4.3594 0.0000 0.0000 0.0000 4.4496" Properties=species:S:1:pos:R:3 pbc="T T T"
Mn 0.0000 2.1797 0.0000
Mn 2.1797 0.0000 0.0000
Be 0.0000 0.0000 2.2248
V 0.0000 0.0000 0.0000
H 2.1797 2.1797 2.2248
```

Record 5
This record from Alexandria describes a relaxed structure of Sc3Be3Co2. The functional is PBE.

Values from the calculation:
Density = 4.1 Mg/m³
SG = No. 62
V = 14.32 Å³/atom
DFT total energy = -46.210 eV/f.u.

The structure in extended XYZ format:
```
32
Lattice="6.5146 0.0000 0.0000 0.0000 13.6578 0.0000 0.0000 0.0000 5.1505" Properties=species:S:1:pos:R:3 pbc="T T T"
Sc 0.1898 1.4430 0.6098
Sc 0.1898 5.3859 0.6098
Sc 1.0553 3.4145 3.2325
Sc 2.2020 10.2434 0.6572
Sc 3.0675 8.2719 3.1851
Sc 3.0675 12.2148 3.1851
Sc 3.4471 1.4430 1.9654
Sc 3.4471 5.3859 1.9654
Sc 4.3126 3.4145 4.4933
Sc 5.4593 10.2434 1.9180
Sc 6.3248 8.2719 4.5407
Sc 6.3248 12.2148 4.5407
Be 1.0156 0.4443 3.0318
Be 1.0156 6.3846 3.0318
Be 1.2037 10.2434 3.1015
Be 2.0536 3.4145 0.5262
Be 2.2417 7.2732 0.4566
Be 2.2417 13.2136 0.4566
Be 4.2729 0.4443 4.6940
Be 4.2729 6.3846 4.6940
Be 4.4610 10.2434 4.6243
Be 5.3109 3.4145 2.0491
Be 5.4990 7.2732 2.1187
Be 5.4990 13.2136 2.1187
Co 0.8984 8.2781 1.8778
Co 0.8984 12.2087 1.8778
Co 2.3589 1.4491 4.4530
Co 2.3589 5.3798 4.4530
Co 4.1557 8.2781 0.6975
Co 4.1557 12.2087 0.6975
Co 5.6162 1.4491 3.2728
Co 5.6162 5.3798 3.2728
```

Record 6
This record from Alexandria describes a relaxed structure of KCu2Mo. The functional is PBE.

Values from the calculation:
Density = 5.8 Mg/m³
SG = No. 119
V = 18.76 Å³/atom
DFT total energy = -14.964 eV/f.u.
ΔE to the lowest computed polymorph = 716 meV per atom

The structure in extended XYZ format:
```
4
Lattice="-1.9957 1.9957 4.7095 1.9957 -1.9957 4.7095 1.9957 1.9957 -4.7095" Properties=species:S:1:pos:R:3 pbc="T T T"
K 0.0000 0.0000 0.0000
Cu 0.0000 0.0000 4.7095
Cu 0.0000 1.9957 2.3548
Mo 1.9957 0.0000 2.3548
```

Record 7
This record from Alexandria describes a relaxed structure of SnI2Br. The functional is PBE.

Values from the calculation:
Density = 5.9 Mg/m³
SG = No. 225
V = 31.75 Å³/atom
DFT total energy = -8.914 eV/f.u.
ΔE to the lowest computed polymorph = 218 meV per atom
Raw formation energy = -0.03 eV per atom

The structure in extended XYZ format:
```
4
Lattice="0.0000 3.9895 3.9895 3.9895 0.0000 3.9895 3.9895 3.9895 0.0000" Properties=species:S:1:pos:R:3 pbc="T T T"
Sn 0.0000 0.0000 0.0000
I 1.9947 1.9947 1.9947
I 5.9842 5.9842 5.9842
Br 3.9895 3.9895 3.9895
```

Record 8
This record from Alexandria describes a relaxed structure of TlIn2Br7. The functional is PBE.

Values from the calculation:
Density = 4.4 Mg/m³
SG = No. 65
V = 37.75 Å³/atom
DFT total energy = -26.693 eV/f.u.
Raw formation energy = -0.71 eV per atom

The structure in extended XYZ format:
```
10
Lattice="4.2732 -10.2784 0.0000 4.2732 10.2784 0.0000 0.0000 0.0000 4.2971" Properties=species:S:1:pos:R:3 pbc="T T T"
Tl 0.0000 0.0000 0.0000
In 4.2732 2.7434 2.1486
In 4.2732 -2.7434 2.1486
Br 1.6928 2.4978 2.1486
Br 4.2732 4.3898 0.0000
Br 1.6928 -2.4978 2.1486
Br 4.2732 0.0000 2.1486
Br 6.8536 2.4978 2.1486
Br 4.2732 -4.3898 0.0000
Br 6.8536 -2.4978 2.1486
```

Q: Look up the V of the second one.
A: 18.09 Å³/atom

Q: Among the records above, which one has the lowest DFT total energy?
A: Li2PrPt9

Q: Number 7 is which compound?
A: SnI2Br